This record from Alexandria describes a geometry-optimized RhWAu2 structure. The functional is PBE.

Output
The size of the total moment is 0.00 μB per formula unit. For the energy of formation from the pure elements, the calculation gives 0.320 eV per atom.

Lattice parameters (Å, degrees): 4.9908 4.9908 4.9908 133.14 133.14 68.43
Last column: nearest neighbours and their distance in Å.
Atoms (fractional coordinates):
Rh: 0.5000 0.5000 0.0000  4 W 2.81, 8 Au 2.86
Au: 0.2500 0.7500 0.5000  4 Au 2.81, 4 W 2.86, 4 Rh 2.86
Au: 0.7500 0.2500 0.5000  4 Au 2.81, 4 W 2.86, 4 Rh 2.86
W: 0.0000 0.0000 0.0000  4 Rh 2.81, 8 Au 2.86